Entry 1:
3
Lattice="7.502 0.007 0.000 6.482 3.777 0.000 -6.992 -1.892 1.953" Properties=species:S:1:pos:R:3 comment="PBE LiTa2, optimized geometry" crystal_system=tetragonal e_form_mev_per_atom=348 dos_at_fermi_per_ev_cell=1.76 polymorph_energy_mev_per_atom=79 total_energy_ev_per_atom=-8.192 pbc="T T T"
Ta 4.587 1.241 0.000
Ta 9.398 2.543 0.000
Li 0.000 0.000 0.000

---

Entry 2:
4
Lattice="-0.601 2.438 4.247 -1.004 -3.475 3.355 3.729 0.232 -3.222" Properties=species:S:1:pos:R:3 comment="PBE Al2FeTe, optimized geometry" crystal_system=tetragonal raw_formation_energy_ev_per_atom=0.375 dos_at_fermi_per_ev_cell=5.15 total_energy_ev_per_atom=-4.398 pbc="T T T"
Fe -0.803 -0.519 3.801
Al 0.961 -1.881 1.967
Al 0.000 0.000 0.000
Te 1.163 1.076 2.413

---

Entry 3:
5
Lattice="3.890 0.000 0.000 0.000 3.890 0.000 1.945 1.945 6.012" Properties=species:S:1:pos:R:3 comment="PBE GaAg2F2, optimized geometry" crystal_system=tetragonal raw_formation_energy_ev_per_atom=-0.663 dos_at_fermi_per_ev_cell=1.87 polymorph_energy_mev_per_atom=97 total_energy_ev_per_atom=-3.157 pbc="T T T"
Ga 0.000 0.000 0.000
Ag 3.890 1.945 3.006
Ag 1.945 3.890 3.006
F 1.945 1.945 1.354
F 3.890 3.890 4.657

---

Entry 4:
5
Lattice="-1.662 -1.961 -5.118 -2.539 -4.017 2.364 -4.747 3.188 0.320" Properties=species:S:1:pos:R:3 comment="PBE NaCd2AgSb, optimized geometry" crystal_system=tetragonal raw_formation_energy_ev_per_atom=0.250 dos_at_fermi_per_ev_cell=2.33 polymorph_energy_mev_per_atom=0 total_energy_ev_per_atom=-1.774 pbc="T T T"
Cd -0.831 -0.980 -2.559
Cd -2.373 1.594 0.160
Na -4.474 -1.395 -1.217
Ag -1.269 -2.009 1.182
Sb 0.000 0.000 0.000

---

Entry 5:
9
Lattice="5.568 0.000 2.448 2.784 6.881 1.224 0.014 0.000 7.523" Properties=species:S:1:pos:R:3 comment="PBE La4TlBr4, optimized geometry" crystal_system=tetragonal raw_formation_energy_ev_per_atom=-1.140 dos_at_fermi_per_ev_cell=7.04 total_energy_ev_per_atom=-4.336 pbc="T T T"
Br 5.114 4.300 3.479
Br 3.251 2.581 7.717
Br 6.621 5.755 7.609
Br 1.745 1.126 3.587
La 6.236 2.782 8.484
La 3.918 5.256 6.201
La 4.448 1.625 4.995
La 2.130 4.099 2.712
Tl 0.000 0.000 0.000

---

Entry 6:
32
Lattice="5.524 0.000 0.000 0.000 7.189 0.000 0.000 0.000 15.984" Properties=species:S:1:pos:R:3 comment="PBE ThAl2Rh, optimized geometry" crystal_system=orthorhombic e_form_mev_per_atom=-753 dos_at_fermi_per_ev_cell=20.06 total_energy_ev_per_atom=-6.317 pbc="T T T"
Rh 4.277 5.391 10.833
Rh 0.037 5.391 14.823
Rh 1.515 1.797 13.142
Rh 2.799 1.797 9.153
Rh 4.009 5.391 2.842
Rh 2.725 5.391 6.831
Rh 5.487 1.797 1.161
Rh 1.247 1.797 5.150
Al 4.083 6.783 8.602
Al 1.441 3.189 7.381
Al 2.985 3.184 11.405
Al 4.203 6.783 0.611
Al 2.539 6.778 4.579
Al 2.985 0.411 11.405
Al 5.301 0.411 3.413
Al 2.539 4.005 4.579
Al 0.223 6.778 12.571
Al 1.441 0.405 7.381
Al 4.083 3.999 8.602
Al 5.301 3.184 3.413
Al 0.223 4.005 12.571
Al 1.321 3.189 15.373
Al 1.321 0.405 15.373
Al 4.203 3.999 0.611
Th 4.133 1.797 6.303
Th 0.187 1.797 10.269
Th 1.391 5.391 9.680
Th 4.153 1.797 14.295
Th 5.337 5.391 5.714
Th 2.575 1.797 2.278
Th 2.949 5.391 13.706
Th 1.371 5.391 1.689

---

Entry 7:
4
Lattice="2.673 0.000 0.000 0.000 2.673 0.000 0.000 0.000 6.203" Properties=species:S:1:pos:R:3 comment="PBE Be2CuW, optimized geometry" crystal_system=tetragonal e_form_mev_per_atom=6 dos_at_fermi_per_ev_cell=1.85 polymorph_energy_mev_per_atom=0 total_energy_ev_per_atom=-6.119 pbc="T T T"
W 1.337 1.337 4.652
Be 0.000 0.000 0.222
Be 0.000 0.000 2.880
Cu 1.337 1.337 1.551

---

Entry 8:
5
Lattice="4.657 0.000 0.000 0.000 4.657 0.000 0.000 0.000 4.657" Properties=species:S:1:pos:R:3 comment="PBE Li3NiBr, optimized geometry" crystal_system=cubic raw_formation_energy_ev_per_atom=-0.098 dos_at_fermi_per_ev_cell=13.59 polymorph_energy_mev_per_atom=0 total_energy_ev_per_atom=-2.737 pbc="T T T"
Li 2.329 0.000 0.000
Li 0.000 2.329 0.000
Li 0.000 0.000 2.329
Ni 0.000 0.000 0.000
Br 2.329 2.329 2.329

---

Entry 9:
3
Lattice="-1.522 -2.171 -1.816 1.655 -2.356 1.428 -3.784 1.843 3.812" Properties=species:S:1:pos:R:3 comment="PBE DyCuSi, optimized geometry" crystal_system=tetragonal raw_formation_energy_ev_per_atom=-0.206 dos_at_fermi_per_ev_cell=1.93 total_energy_ev_per_atom=-4.913 pbc="T T T"
Cu -3.060 -2.616 2.848
Dy -0.796 -2.361 0.645
Si -2.331 -0.263 2.268

---

Entry 10:
5
Lattice="6.760 0.000 0.000 0.000 6.760 0.000 0.000 0.000 6.760" Properties=species:S:1:pos:R:3 comment="PBE RbMg3Pt, optimized geometry" crystal_system=cubic e_form_mev_per_atom=1615 dos_at_fermi_per_ev_cell=18.51 polymorph_energy_mev_per_atom=1928 total_energy_ev_per_atom=-0.743 pbc="T T T"
Mg 0.000 3.380 0.000
Mg 0.000 0.000 3.380
Mg 3.380 0.000 0.000
Pt 3.380 3.380 3.380
Rb 0.000 0.000 0.000

---

Entry 11:
10
Lattice="-0.790 3.949 7.469 -8.421 -0.969 -0.379 0.236 -2.594 1.396" Properties=species:S:1:pos:R:3 comment="PBE Mg2As2Br, optimized geometry" crystal_system=tetragonal raw_formation_energy_ev_per_atom=-0.256 dos_at_fermi_per_ev_cell=9.25 polymorph_energy_mev_per_atom=229 total_energy_ev_per_atom=-3.088 pbc="T T T"
Br 0.000 0.000 0.000
Br -4.606 1.490 3.545
Mg -2.976 0.311 1.081
Mg -7.325 0.523 2.208
Mg -6.236 2.668 6.009
Mg -1.886 2.457 4.882
As -1.283 0.029 3.398
As -5.307 -1.388 1.443
As -7.692 0.357 5.088
As -3.669 1.775 7.043

---

Entry 12:
4
Lattice="-0.240 -0.606 -3.430 3.041 -1.714 0.090 -4.434 -7.777 1.683" Properties=species:S:1:pos:R:3 comment="PBE Sr2TcRh, optimized geometry" crystal_system=tetragonal e_form_mev_per_atom=338 dos_at_fermi_per_ev_cell=4.95 polymorph_energy_mev_per_atom=123 total_energy_ev_per_atom=-4.932 pbc="T T T"
Sr -4.075 -7.147 1.546
Sr -0.045 -3.696 -1.121
Tc -2.589 -4.541 0.983
Rh -1.575 -6.379 -0.541

---

Entry 13:
5
Lattice="-1.707 3.424 -1.813 -4.465 -1.691 1.009 0.080 2.012 3.725" Properties=species:S:1:pos:R:3 comment="PBE Be2InTcIr, optimized geometry" crystal_system=tetragonal e_form_mev_per_atom=613 dos_at_fermi_per_ev_cell=3.43 total_energy_ev_per_atom=-5.270 pbc="T T T"
Tc -2.233 -0.846 0.505
Be -0.853 1.712 -0.906
Be 0.040 1.006 1.862
Ir 0.000 0.000 0.000
In -3.046 1.872 1.461

---

Entry 14:
8
Lattice="-0.274 -2.713 -3.605 0.126 -6.268 4.707 -7.418 2.263 -1.139" Properties=species:S:1:pos:R:3 comment="PBE CeTh3Sn4, optimized geometry" crystal_system=orthorhombic e_form_mev_per_atom=-483 dos_at_fermi_per_ev_cell=7.98 total_energy_ev_per_atom=-6.008 pbc="T T T"
Sn -5.496 -3.018 2.688
Sn -1.883 -5.508 1.453
Sn -5.683 -1.210 -1.492
Sn -1.797 -0.987 0.879
Th -3.783 -3.359 -0.019
Th 0.063 -3.134 2.353
Th -3.709 1.131 -0.570
Ce -0.137 -1.356 -1.803

---

Entry 15:
4
Lattice="5.716 0.000 0.000 2.858 4.951 0.000 2.858 1.650 4.667" Properties=species:S:1:pos:R:3 comment="PBE SmEuErLu, optimized geometry" crystal_system=cubic e_form_mev_per_atom=148 dos_at_fermi_per_ev_cell=6.49 total_energy_ev_per_atom=-5.872 pbc="T T T"
Lu 5.716 3.300 2.334
Eu 8.575 4.951 3.501
Er 0.000 0.000 0.000
Sm 2.858 1.650 1.167

---

Entry 16:
10
Lattice="-0.237 -5.664 -4.737 3.356 -4.304 4.979 -2.489 -6.210 1.790" Properties=species:S:1:pos:R:3 comment="PBE Rb2HgNCl6, optimized geometry" crystal_system=tetragonal raw_formation_energy_ev_per_atom=-0.450 dos_at_fermi_per_ev_cell=2.35 total_energy_ev_per_atom=-2.614 pbc="T T T"
Cl 2.259 -7.220 0.175
Cl -0.362 -5.566 0.913
Cl 2.365 -4.679 2.300
Cl 0.753 -5.289 -2.058
Cl 0.992 -10.613 1.119
Cl 0.860 -2.749 0.067
Rb 1.213 -7.749 3.445
Rb -0.584 -8.429 -1.413
N 1.559 -4.984 0.121
Hg 0.000 0.000 0.000

---

Entry 17:
4
Lattice="-0.722 -0.190 -3.848 -3.850 -1.051 2.771 -2.560 2.949 0.334" Properties=species:S:1:pos:R:3 comment="PBE TcMo, optimized geometry" crystal_system=tetragonal e_form_mev_per_atom=196 dos_at_fermi_per_ev_cell=3.68 polymorph_energy_mev_per_atom=120 total_energy_ev_per_atom=-10.402 pbc="T T T"
Mo -4.386 1.544 -1.250
Mo 0.000 0.000 0.000
Tc -2.745 0.164 0.507
Tc -1.641 1.380 -1.757

---

Entry 18:
5
Lattice="4.597 0.000 0.000 0.000 4.778 0.000 0.000 0.000 4.597" Properties=species:S:1:pos:R:3 comment="PBE ScV2TcOs, optimized geometry" crystal_system=tetragonal e_form_mev_per_atom=829 dos_at_fermi_per_ev_cell=4.77 total_energy_ev_per_atom=-8.404 pbc="T T T"
Tc 0.000 2.389 0.000
V 0.000 0.000 2.298
V 2.298 0.000 0.000
Sc 2.298 2.389 2.298
Os 0.000 0.000 0.000

---

Entry 19:
4
Lattice="4.805 0.040 0.000 -1.529 4.555 0.000 0.000 0.000 2.787" Properties=species:S:1:pos:R:3 comment="PBE MgTcPt2, optimized geometry" crystal_system=orthorhombic e_form_mev_per_atom=-400 dos_at_fermi_per_ev_cell=2.94 total_energy_ev_per_atom=-6.411 pbc="T T T"
Pt 1.638 2.298 0.000
Pt 0.000 0.000 0.000
Mg -0.765 2.278 1.394
Tc 2.402 0.020 1.394

---

Entry 20:
4
Lattice="-0.419 3.346 2.691 -1.947 -0.530 3.813 2.311 0.143 3.640" Properties=species:S:1:pos:R:3 comment="PBE CdReNi2, optimized geometry" crystal_system=cubic e_form_mev_per_atom=630 dos_at_fermi_per_ev_cell=4.98 total_energy_ev_per_atom=-5.601 pbc="T T T"
Ni 0.000 0.000 0.000
Ni -0.014 0.740 2.536
Cd -0.027 1.480 5.073
Re -0.041 2.219 7.609

---

Entry 21:
5
Lattice="5.045 0.000 0.000 0.000 5.045 0.000 0.000 0.000 5.045" Properties=species:S:1:pos:R:3 comment="PBE NaZn3As, optimized geometry" crystal_system=cubic e_form_mev_per_atom=276 dos_at_fermi_per_ev_cell=1.97 polymorph_energy_mev_per_atom=0 total_energy_ev_per_atom=-1.682 pbc="T T T"
Zn 0.000 2.523 0.000
Zn 0.000 0.000 2.523
Zn 2.523 0.000 0.000
As 0.000 0.000 0.000
Na 2.523 2.523 2.523

---

Entry 22:
10
Lattice="-3.694 2.460 -1.323 -1.195 -3.375 -2.937 -6.214 -4.926 8.191" Properties=species:S:1:pos:R:3 comment="PBE Ba2Li4InAu3, optimized geometry" crystal_system=tetragonal e_form_mev_per_atom=-475 dos_at_fermi_per_ev_cell=4.75 total_energy_ev_per_atom=-2.882 pbc="T T T"
Ba -3.382 0.013 1.362
Ba -5.277 -5.397 4.700
Au -1.402 -2.326 -0.408
Au -7.257 -3.058 6.469
Au -3.107 -2.463 4.096
Li 0.000 0.000 0.000
Li -2.893 -3.508 1.558
Li -5.766 -1.877 4.504
Li -2.445 -0.458 -2.130
In -5.552 -2.921 1.966

---

Entry 23:
18
Lattice="7.163 0.000 0.000 -3.581 6.203 0.000 0.000 0.000 13.540" Properties=species:S:1:pos:R:3 comment="PBE KNaNpCl6, optimized geometry" crystal_system=trigonal raw_formation_energy_ev_per_atom=-1.796 dos_at_fermi_per_ev_cell=10.31 total_energy_ev_per_atom=-4.733 pbc="T T T"
Np 3.581 2.068 3.385
Np 0.000 4.136 10.155
Cl 2.607 0.150 1.886
Cl 4.556 0.150 4.884
Cl -1.174 2.332 8.656
Cl 1.174 2.332 11.655
Cl 0.975 6.053 11.655
Cl -0.975 6.053 8.656
Cl 5.730 2.182 1.886
Cl 2.148 4.021 8.656
Cl -2.148 4.021 11.655
Cl 2.408 3.871 1.886
Cl 4.755 3.871 4.884
Cl 1.433 2.182 4.884
Na 0.000 4.136 3.385
Na 3.581 2.068 10.155
K 0.000 0.000 0.000
K 0.000 0.000 6.770

---

Entry 24:
10
Lattice="-5.194 5.160 5.295 3.312 -4.162 7.304 1.917 1.781 0.145" Properties=species:S:1:pos:R:3 comment="PBE K2TaIr2, optimized geometry" crystal_system=tetragonal e_form_mev_per_atom=1387 dos_at_fermi_per_ev_cell=7.36 polymorph_energy_mev_per_atom=0 total_energy_ev_per_atom=-4.967 pbc="T T T"
K 0.752 -1.091 3.439
K -2.634 2.089 9.161
K -2.797 2.686 3.987
K 0.915 -1.688 8.613
Ta -0.941 0.499 6.300
Ta 0.000 0.000 0.000
Ir 0.003 1.139 9.630
Ir -2.210 3.774 6.545
Ir 2.245 -0.995 6.200
Ir 0.032 1.639 3.115

---

Entry 25:
8
Lattice="-2.879 3.729 6.931 -0.348 -2.977 6.524 3.959 3.654 4.745" Properties=species:S:1:pos:R:3 comment="PBE K2BaTiSe4, optimized geometry" crystal_system=tetragonal raw_formation_energy_ev_per_atom=-1.352 dos_at_fermi_per_ev_cell=0.00 total_energy_ev_per_atom=-4.596 pbc="T T T"
K 1.441 3.859 8.656
K -0.710 0.546 9.544
Se 0.463 -0.918 4.073
Se 1.222 4.087 11.829
Se -1.218 3.035 14.740
Se 0.995 2.606 5.757
Ba 0.000 0.000 0.000
Ti 1.805 0.338 5.634

---

no.,volume (Å³ per atom)
1,18.42
2,17.60
3,18.19
4,34.81
5,32.00
6,19.84
7,11.08
8,20.20
9,17.92
10,61.79
11,21.28
12,27.76
13,17.50
14,32.74
15,33.02
16,24.82
17,15.32
18,20.19
19,15.30
20,14.20
21,25.69
22,24.45
23,33.42
24,21.40
25,35.58